## Gd2GaAu (PBE)

Data for an optimized crystal structure of Gd2GaAu.

Cell: 3.589 3.589 7.447 Å, 90.00 90.00 90.00°
Atoms (fractional coordinates):
Gd 0.000 0.000 0.250
Gd 0.000 0.000 0.750
Au 0.500 0.500 0.500
Ga 0.500 0.500 0.000

Output
* formation energy from the elements: -0.70 eV per atom

## YMg2Mo (PBE)

Data for an optimized crystal structure of YMg2Mo.

Cell: 5.458 5.458 5.458 Å, 132.97 132.97 68.70°
Atoms (fractional coordinates):
Y 0.750 0.250 0.500
Mg 0.250 0.750 0.500
Mg 0.000 0.000 0.000
Mo 0.500 0.500 0.000

Output
* distance to the lowest polymorph of the same formula: 76 meV/atom
* formation energy from the elements: 0.36 eV per atom

## CsBeHg (PBE)

Data for an optimized crystal structure of CsBeHg.

Cell: 4.272 7.271 7.363 Å, 113.50 99.64 106.61°
Atoms (fractional coordinates):
Be 0.285 0.565 0.502
Be 0.715 0.435 0.498
Hg 0.887 0.777 0.501
Hg 0.113 0.223 0.499
Cs 0.716 0.201 0.905
Cs 0.284 0.799 0.095

Output
* distance to the lowest polymorph of the same formula: 38 meV/atom
* formation energy from the elements: 0.24 eV per atom

## PPbC2 (PBE)

Data for an optimized crystal structure of PPbC2.

Cell: 4.294 4.294 4.294 Å, 60.00 60.00 60.00°
Atoms (fractional coordinates):
Pb 0.500 0.500 0.500
P 0.000 0.000 0.000
C 0.250 0.250 0.250
C 0.750 0.750 0.750

Output
* distance to the lowest polymorph of the same formula: 1562 meV/atom
* formation energy from the elements: 2.51 eV per atom

## CaV2ZnRe (PBE)

Data for an optimized crystal structure of CaV2ZnRe.

Cell: 4.663 5.551 4.663 Å, 90.00 90.00 90.00°
Atoms (fractional coordinates):
V 0.500 0.000 0.000
Re 0.000 0.000 0.000
V 0.000 0.000 0.500
Ca 0.000 0.500 0.000
Zn 0.500 0.500 0.500

Output
* formation energy from the elements: 1.05 eV per atom

## ScTlCl2 (PBE)

Data for an optimized crystal structure of ScTlCl2.

Cell: 5.124 5.124 5.124 Å, 60.00 60.00 60.00°
Atoms (fractional coordinates):
Cl 0.750 0.750 0.750
Cl 0.250 0.250 0.250
Tl 0.500 0.500 0.500
Sc 0.000 0.000 0.000

Output
* distance to the lowest polymorph of the same formula: 600 meV/atom
* energy relative to the elements, uncorrected: -0.71 eV/atom

## ZrCuPd6 (PBE)

Data for an optimized crystal structure of ZrCuPd6.

Cell: 4.751 4.751 7.216 Å, 73.43 73.43 68.64°
Atoms (fractional coordinates):
Pd 0.648 0.648 0.060
Pd 0.555 0.066 0.297
Pd 0.066 0.555 0.297
Zr 0.500 0.500 0.500
Pd 0.934 0.445 0.703
Pd 0.445 0.934 0.703
Cu 0.000 0.000 0.000
Pd 0.352 0.352 0.940

Output
* distance to the lowest polymorph of the same formula: 337 meV/atom
* formation energy from the elements: -0.12 eV per atom

| no. | DOS at the Fermi energy (states/eV per atom) |
| --- | --- |
| 1 | 0.9371 |
| 2 | 0.7834 |
| 3 | 0.4508 |
| 4 | 0.5767 |
| 5 | 1.2853 |
| 6 | 0.4900 |
| 7 | 0.5714 |